Density functional theory data (PBE) for a relaxed structure of BaMg2Cu.

abc: 4.316 4.777 5.610
angles: 90.00 90.00 90.00
Space group Pmmm (No. 47)
Unique sites:
Ba 0.000 0.000 0.000 x1
Mg 0.000 0.500 0.500 x1
Mg 0.500 0.000 0.500 x1
Cu 0.500 0.500 0.000 x1

Formation energy from the elements: 0.188 eV per atom